9
Lattice="4.692 -2.245 0.000 4.692 2.245 0.000 -2.651 0.000 9.378" Properties=species:S:1:pos:R:3 comment="GGA-PBE Li3Mg2Sn4, optimized geometry" sg="No. 12" volume_a3_per_fu=197.6 ef_mev_per_atom=-245.5 pbc="T T T"
Li 0.000 0.000 0.000
Li 2.048 0.000 4.084
Li 4.686 0.000 5.294
Mg 1.019 0.000 7.227
Mg 5.714 0.000 2.150
Sn -0.763 0.000 3.266
Sn 2.870 0.000 1.011
Sn 3.864 0.000 8.367
Sn 7.497 0.000 6.112

---

5
Lattice="4.928 0.000 0.000 0.000 4.928 0.000 0.000 0.000 4.928" Properties=species:S:1:pos:R:3 comment="GGA-PBE LiMg3Sn, optimized geometry" sg="No. 221" polymorph_energy_mev_per_atom=419 volume_a3_per_fu=119.7 ef_mev_per_atom=265.0 pbc="T T T"
Li 0.000 0.000 0.000
Mg 0.000 0.000 2.464
Mg 0.000 2.464 0.000
Mg 2.464 0.000 0.000
Sn 2.464 2.464 2.464

---

12
Lattice="6.679 -2.466 0.000 6.679 2.466 0.000 -6.039 0.000 7.876" Properties=species:S:1:pos:R:3 comment="GGA-PBE Li7MgSn4, optimized geometry" sg="No. 12" polymorph_energy_mev_per_atom=74 volume_a3_per_fu=259.5 ef_mev_per_atom=-213.8 pbc="T T T"
Li 0.000 0.000 0.000
Li -1.590 0.000 4.665
Li 2.928 0.000 1.128
Li 1.955 0.000 5.116
Li 5.364 0.000 2.761
Li 4.391 0.000 6.748
Li 8.910 0.000 3.211
Mg 6.679 0.000 0.000
Sn -3.856 0.000 6.270
Sn 0.529 0.000 2.726
Sn 6.790 0.000 5.151
Sn 11.175 0.000 1.606

---

16
Lattice="8.515 0.000 0.000 -4.257 7.374 0.000 0.000 0.000 5.657" Properties=species:S:1:pos:R:3 comment="GGA-PBE Li2Mg3Sn3, optimized geometry" sg="No. 193" volume_a3_per_fu=177.6 ef_mev_per_atom=-199.9 pbc="T T T"
Li 0.000 4.916 0.000
Li 0.000 4.916 2.828
Li 4.257 2.458 0.000
Li 4.257 2.458 2.828
Mg -0.991 1.716 1.414
Mg -3.267 5.658 4.243
Mg 1.981 0.000 1.414
Mg 0.991 1.716 4.243
Mg 6.534 0.000 4.243
Mg 3.267 5.658 1.414
Sn -1.716 2.973 4.243
Sn -2.541 4.401 1.414
Sn 3.432 0.000 4.243
Sn 1.716 2.973 1.414
Sn 5.082 0.000 1.414
Sn 2.541 4.401 4.243

---

8
Lattice="4.407 0.000 0.000 0.013 4.530 0.000 1.634 2.178 8.740" Properties=species:S:1:pos:R:3 comment="GGA-PBE Li2Mg3Sn3, optimized geometry" sg="No. 2" volume_a3_per_fu=174.5 ef_mev_per_atom=-198.0 pbc="T T T"
Li 1.910 2.220 4.355
Li 4.145 4.488 4.385
Mg 1.990 4.499 2.316
Mg 2.210 2.265 0.000
Mg 4.065 2.209 6.424
Sn 0.000 0.000 0.000
Sn 1.922 4.473 6.271
Sn 4.132 2.235 2.469

---

10
Lattice="2.312 -10.996 0.000 2.312 10.996 0.000 0.000 0.000 4.641" Properties=species:S:1:pos:R:3 comment="GGA-PBE LiMgSn3, optimized geometry" sg="No. 63" polymorph_energy_mev_per_atom=0 volume_a3_per_fu=118.0 ef_mev_per_atom=-154.0 pbc="T T T"
Li 2.312 7.552 3.481
Li 2.312 -7.552 1.160
Mg 2.312 3.430 3.481
Mg 2.312 -3.430 1.160
Sn 2.312 9.699 1.160
Sn 2.312 5.500 1.160
Sn 2.312 1.307 1.160
Sn 2.312 -1.307 3.481
Sn 2.312 -5.500 3.481
Sn 2.312 -9.699 3.481

---

12
Lattice="2.865 1.654 8.044 -2.865 1.654 8.044 0.000 -3.308 8.044" Properties=species:S:1:pos:R:3 comment="GGA-PBE Li9MgSn2, optimized geometry" sg="No. 166" volume_a3_per_fu=228.7 ef_mev_per_atom=-66.0 pbc="T T T"
Li 0.000 0.000 0.000
Li 0.000 -1.538 6.270
Li -1.332 0.769 6.270
Li 0.000 0.000 3.834
Li -1.332 -0.769 17.862
Li 1.332 0.769 6.270
Li 0.000 0.000 20.298
Li 1.332 -0.769 17.862
Li 0.000 1.538 17.862
Mg 0.000 0.000 12.066
Sn 0.000 0.000 8.903
Sn 0.000 0.000 15.229

---

6
Lattice="5.674 0.000 0.000 -2.837 4.914 0.000 0.000 0.000 4.885" Properties=species:S:1:pos:R:3 comment="GGA-PBE Li2Mg3Sn, optimized geometry" sg="No. 191" polymorph_energy_mev_per_atom=197 volume_a3_per_fu=136.2 ef_mev_per_atom=31.5 pbc="T T T"
Li 0.000 3.276 0.000
Li 2.837 1.638 0.000
Mg -1.419 2.457 2.442
Mg 2.837 0.000 2.442
Mg 1.419 2.457 2.442
Sn 0.000 0.000 0.000